{"formula": "Tl4InSi3Au12", "functional": "GGA-PBE", "state": "optimized geometry", "raw_formation_energy_ev_per_atom": 0.07, "dos_ef_per_ev_atom": 0.026, "spacegroup": "Im-3m (229)", "magnetic_moment_mub_per_cell": 0.0, "crystal_system": "cubic", "lattice": [[-4.9801, 4.9801, 4.9801], [4.9801, -4.9801, 4.9801], [4.9801, 4.9801, -4.9801]], "species": ["Tl", "Tl", "Tl", "Tl", "In", "Si", "Si", "Si", "Au", "Au", "Au", "Au", "Au", "Au", "Au", "Au", "Au", "Au", "Au", "Au"], "fractional_positions": [[0.0000, 0.0000, 0.5000], [0.0000, 0.5000, 0.0000], [0.5000, 0.0000, 0.0000], [0.5000, 0.5000, 0.5000], [0.0000, 0.0000, 0.0000], [0.0000, 0.5000, 0.5000], [0.5000, 0.0000, 0.5000], [0.5000, 0.5000, 0.0000], [0.0000, 0.2642, 0.2642], [0.0000, 0.7358, 0.7358], [0.2500, 0.5000, 0.7500], [0.2500, 0.7500, 0.5000], [0.2642, 0.0000, 0.2642], [0.2642, 0.2642, 0.0000], [0.5000, 0.2500, 0.7500], [0.5000, 0.7500, 0.2500], [0.7358, 0.0000, 0.7358], [0.7358, 0.7358, 0.0000], [0.7500, 0.2500, 0.5000], [0.7500, 0.5000, 0.2500]]}

=====

{"formula": "YIn2Si2Au7", "functional": "GGA-PBE", "state": "optimized geometry", "raw_formation_energy_ev_per_atom": -0.22, "dos_ef_per_ev_atom": 0.302, "spacegroup": "C2/m (12)", "magnetic_moment_mub_per_cell": 0.0, "crystal_system": "monoclinic", "lattice": [[2.9896, -3.4883, 0.0000], [2.9896, 3.4883, 0.0000], [-0.0285, 0.0000, 12.6357]], "species": ["Y", "In", "In", "Si", "Si", "Au", "Au", "Au", "Au", "Au", "Au", "Au"], "fractional_positions": [[0.0000, 0.0000, 0.0000], [0.1466, 0.1466, 0.3721], [0.8534, 0.8534, 0.6279], [0.3563, 0.3563, 0.7691], [0.6437, 0.6437, 0.2309], [0.1003, 0.5119, 0.1689], [0.3333, 0.3333, 0.5785], [0.4881, 0.8997, 0.8311], [0.5000, 0.5000, 0.0000], [0.5119, 0.1003, 0.1689], [0.6667, 0.6667, 0.4215], [0.8997, 0.4881, 0.8311]]}

=====

{"formula": "SmIn3Au3", "functional": "GGA-PBE", "state": "optimized geometry", "dos_ef_per_ev_atom": 0.351, "spacegroup": "P2_1/m (11)", "ef_mev_per_atom": -407, "magnetic_moment_mub_per_cell": 0.0, "crystal_system": "monoclinic", "relative_energy_mev_per_atom": 0, "lattice": [[8.0305, 0.0000, 0.0000], [0.0000, 4.8598, 0.0000], [-2.7512, 0.0000, 8.3261]], "species": ["Sm", "Sm", "In", "In", "In", "In", "In", "In", "Au", "Au", "Au", "Au", "Au", "Au"], "fractional_positions": [[0.1313, 0.2500, 0.2902], [0.8687, 0.7500, 0.7098], [0.2221, 0.2500, 0.7001], [0.2904, 0.7500, 0.0214], [0.4752, 0.7500, 0.7608], [0.5248, 0.2500, 0.2392], [0.7096, 0.2500, 0.9786], [0.7779, 0.7500, 0.2999], [0.0506, 0.2500, 0.9269], [0.1335, 0.7500, 0.5044], [0.4254, 0.7500, 0.3779], [0.5746, 0.2500, 0.6221], [0.8665, 0.2500, 0.4956], [0.9494, 0.7500, 0.0731]]}

=====

{"formula": "SmInAu6", "functional": "GGA-PBE", "state": "optimized geometry", "dos_ef_per_ev_atom": 0.393, "spacegroup": "Pmm2 (25)", "ef_mev_per_atom": -366, "magnetic_moment_mub_per_cell": 0.0, "crystal_system": "orthorhombic", "relative_energy_mev_per_atom": 0, "lattice": [[5.0689, 0.0000, 0.0000], [0.0000, 5.9089, 0.0000], [0.0000, 0.0000, 5.3356]], "species": ["Sm", "In", "Au", "Au", "Au", "Au", "Au", "Au"], "fractional_positions": [[0.0000, 0.0000, 0.0000], [0.5000, 0.5000, 0.2981], [0.0000, 0.2586, 0.4961], [0.0000, 0.5000, 0.9901], [0.0000, 0.7414, 0.4961], [0.5000, 0.0000, 0.3322], [0.5000, 0.2524, 0.8105], [0.5000, 0.7476, 0.8105]]}

=====

> What is the formula in the fourth record?

SmInAu6